(1)
MgPd3Pt: relaxed, PBE.

Cell lengths 4.708, 4.731, 9.039 Å; angles 90.00, 90.00, 119.90 degrees
Fractional coordinates of all 10 atoms:
Pd  0.697  0.679  0.250
Pd  0.337  0.673  0.500
Pd  0.663  0.327  0.000
Pd  0.337  0.673  0.000
Pd  0.663  0.327  0.500
Pd  0.303  0.321  0.750
Mg  0.026  0.344  0.250
Mg  0.974  0.656  0.750
Pt  0.000  0.000  0.000
Pt  0.000  0.000  0.500

Calculated values
The calculation puts the energy above the most stable polymorph in this dataset at 0.000 eV per atom. Its formation energy is -0.269 eV/atom. As for the space-group type: No. 11. For the density of states at the Fermi level, the calculation gives 6.0 states/eV per cell. As for the total energy: -4.9119 eV per atom.

---

(2)
Mg2PdPt8: relaxed, PBE.

Cell lengths 4.170, 7.021, 7.275 Å; angles 118.85, 106.65, 90.00 degrees
Fractional coordinates of all 11 atoms:
Pt  0.844  0.844  0.688
Pt  0.156  0.156  0.312
Pt  0.000  0.301  0.000
Pt  0.349  0.128  0.698
Pt  0.000  0.699  0.000
Pt  0.349  0.570  0.698
Pt  0.651  0.872  0.302
Pt  0.651  0.430  0.302
Mg  0.196  0.696  0.392
Mg  0.804  0.304  0.608
Pd  0.500  0.000  0.000

Calculated values
Its formation energy is -0.265 eV/atom. As for the space-group type: No. 71. For the density of states at the Fermi level, the calculation gives 10.0 states/eV per cell. As for the total energy: -5.4205 eV per atom.